[1]
K2AgN2 PBE-GGA optimized geometry; formation energy from raw total energies = 1.509 eV/atom; symmetry = I4/mmm (139); E = -14.2 eV/cell
1.0
-2.5240 2.5240 4.7808
2.5240 -2.5240 4.7808
2.5240 2.5240 -4.7808
K Ag N
2 1 2
Direct
0.1576 0.1576 0.0000 K
0.8424 0.8424 0.0000 K
0.5000 0.5000 0.0000 Ag
0.2500 0.7500 0.5000 N
0.7500 0.2500 0.5000 N

[2]
Zn2RuRh PBE-GGA optimized geometry; symmetry = F-43m (216); E = -19.1 eV/cell; ΔE_f = 0.018 eV per atom
1.0
0.0000 3.0565 3.0565
3.0565 0.0000 3.0565
3.0565 3.0565 0.0000
Zn Ru Rh
2 1 1
Direct
0.0000 0.0000 0.0000 Zn
0.2500 0.2500 0.2500 Zn
0.7500 0.7500 0.7500 Ru
0.5000 0.5000 0.5000 Rh

[3]
GaPdI4 PBE-GGA optimized geometry; formation energy from raw total energies = -0.240 eV/atom; symmetry = C2/m (12); E = -15.9 eV/cell
1.0
7.7952 -1.9449 0.0000
7.7952 1.9449 0.0000
-3.1973 0.0000 7.3959
Ga Pd I
1 1 4
Direct
0.0000 0.0000 0.0000 Ga
0.5000 0.5000 0.5000 Pd
0.0993 0.0993 0.4354 I
0.3652 0.3652 0.9921 I
0.6348 0.6348 0.0079 I
0.9007 0.9007 0.5646 I

[4]
ScIn3Pb PBE-GGA optimized geometry; symmetry = Pm-3m (221); E = -16.2 eV/cell; ΔE_f = 0.402 eV per atom
1.0
5.5485 0.0000 0.0000
0.0000 5.5485 0.0000
0.0000 0.0000 5.5485
Sc In Pb
1 3 1
Direct
0.0000 0.0000 0.0000 Sc
0.0000 0.0000 0.5000 In
0.0000 0.5000 0.0000 In
0.5000 0.0000 0.0000 In
0.5000 0.5000 0.5000 Pb

[5]
YTl2AgN PBE-GGA optimized geometry; formation energy from raw total energies = 0.532 eV/atom; symmetry = P4/mmm (123); E = -19.7 eV/cell
1.0
6.2386 0.0000 0.0000
0.0000 6.2386 0.0000
0.0000 0.0000 4.2161
Y Tl Ag N
1 2 1 1
Direct
0.0000 0.0000 0.0000 Y
0.0000 0.5000 0.0000 Tl
0.5000 0.0000 0.0000 Tl
0.5000 0.5000 0.5000 Ag
0.0000 0.0000 0.5000 N

[6]
OsN2ClF PBE-GGA optimized geometry; formation energy from raw total energies = 2.550 eV/atom; symmetry = P4/mmm (123); E = -18.8 eV/cell
1.0
3.9646 0.0000 0.0000
0.0000 3.9646 0.0000
0.0000 0.0000 3.8873
Os N Cl F
1 2 1 1
Direct
0.0000 0.0000 0.0000 Os
0.0000 0.5000 0.5000 N
0.5000 0.0000 0.5000 N
0.5000 0.5000 0.5000 Cl
0.5000 0.5000 0.0000 F

[7]
SmUPd14 PBE-GGA optimized geometry; symmetry = P4/mmm (123); E = -94.6 eV/cell; ΔE_f = -0.368 eV per atom
1.0
5.8352 0.0000 0.0000
0.0000 5.8352 0.0000
0.0000 0.0000 7.7958
Sm U Pd
1 1 14
Direct
0.0000 0.0000 0.0000 Sm
0.5000 0.5000 0.0000 U
0.0000 0.0000 0.5000 Pd
0.0000 0.5000 0.0000 Pd
0.0000 0.5000 0.5000 Pd
0.2567 0.2567 0.2537 Pd
0.2567 0.2567 0.7463 Pd
0.2567 0.7433 0.2537 Pd
0.2567 0.7433 0.7463 Pd
0.5000 0.0000 0.0000 Pd
0.5000 0.0000 0.5000 Pd
0.5000 0.5000 0.5000 Pd
0.7433 0.2567 0.2537 Pd
0.7433 0.2567 0.7463 Pd
0.7433 0.7433 0.2537 Pd
0.7433 0.7433 0.7463 Pd

[8]
ScBeV2 PBE-GGA optimized geometry; symmetry = I-42d (122); E = -51.3 eV/cell; ΔE_f = 0.660 eV per atom
1.0
-1.9023 1.9023 9.0000
1.9023 -1.9023 9.0000
1.9023 1.9023 -9.0000
Sc Be V
2 2 4
Direct
0.0000 0.0000 0.0000 Sc
0.7500 0.2500 0.5000 Sc
0.2500 0.7500 0.5000 Be
0.5000 0.5000 0.0000 Be
0.2619 0.6250 0.1369 V
0.3750 0.5119 0.6369 V
0.4881 0.1250 0.8631 V
0.8750 0.7381 0.3631 V

Question: Which formula does entry 7 have?
Answer: SmUPd14

Question: Among the records above, which one has the highest E?
Answer: K2AgN2

What did the eighth record say?
ScBeV2 PBE-GGA optimized geometry; symmetry = I-42d (122); E = -51.3 eV/cell; ΔE_f = 0.660 eV per atom
1.0
-1.9023 1.9023 9.0000
1.9023 -1.9023 9.0000
1.9023 1.9023 -9.0000
Sc Be V
2 2 4
Direct
0.0000 0.0000 0.0000 Sc
0.7500 0.2500 0.5000 Sc
0.2500 0.7500 0.5000 Be
0.5000 0.5000 0.0000 Be
0.2619 0.6250 0.1369 V
0.3750 0.5119 0.6369 V
0.4881 0.1250 0.8631 V
0.8750 0.7381 0.3631 V

Question: Number 2 is which compound?
Answer: Zn2RuRh